[1]
Density functional theory data (PBE) for an optimized crystal structure of Ac4SnTe5.

a = 19.2048 Å, b = 19.2048 Å, c = 19.2048 Å
α = 14.19°, β = 14.19°, γ = 14.19°
Closest atoms and distances in Å follow each position.
Element x y z (fractional)
Ac  0.0998  0.0998  0.0998  6 Te 3.30-3.43
Ac  0.2991  0.2991  0.2991  6 Te 3.33-3.36
Ac  0.7009  0.7009  0.7009  6 Te 3.33-3.36
Ac  0.9002  0.9002  0.9002  6 Te 3.30-3.43
Sn  0.5000  0.5000  0.5000  6 Te 3.25
Te  0.0000  0.0000  0.0000  6 Ac 3.36
Te  0.1974  0.1974  0.1974  3 Sn 3.25, 3 Ac 3.43
Te  0.4007  0.4007  0.4007  6 Ac 3.30-3.33
Te  0.5993  0.5993  0.5993  6 Ac 3.30-3.33
Te  0.8026  0.8026  0.8026  3 Sn 3.25, 3 Ac 3.43

## Properties
The value obtained for the energy is -4.83 eV per atom. As for the total magnetic moment: 0.0 μB/cell. The uncorrected formation energy is -12.2 eV/f.u.

[2]
Density functional theory data (PBE) for an optimized crystal structure of Tm4BiTe2Se.

a = 7.4011 Å, b = 4.2552 Å, c = 7.4249 Å
α = 90.00°, β = 109.25°, γ = 90.00°
Closest atoms and distances in Å follow each position.
Element x y z (fractional)
Tm  0.2225  0.0000  0.2237  2 Se 2.86, 3 Te 3.02-3.19, 1 Bi 3.04
Tm  0.2339  0.5000  0.7636  1 Se 2.84, 2 Te 3.02, 2 Bi 3.03
Tm  0.7661  0.5000  0.2364  1 Se 2.84, 2 Te 3.02, 2 Bi 3.03
Tm  0.7775  0.0000  0.7763  2 Se 2.86, 3 Te 3.02-3.19, 1 Bi 3.04
Bi  0.5000  0.0000  0.0000  6 Tm 3.03-3.04
Te  0.0000  0.0000  0.5000  6 Tm 3.02
Te  0.5000  0.5000  0.5000  6 Tm 3.19-3.20
Se  0.0000  0.5000  0.0000  6 Tm 2.84-2.86

## Properties
The value obtained for the energy is -5.14 eV per atom. As for the total magnetic moment: 0.0 μB/cell. The uncorrected formation energy is -9.6 eV/f.u.

[3]
Density functional theory data (PBE) for an optimized crystal structure of CsNdMgCl6.

a = 6.9694 Å, b = 6.9694 Å, c = 7.7213 Å
α = 90.00°, β = 90.00°, γ = 120.00°
Closest atoms and distances in Å follow each position.
Element x y z (fractional)
Cs  0.0000  0.0000  0.0000  6 Cl 3.54
Nd  0.6667  0.3333  0.5000  6 Cl 2.75
Mg  0.3333  0.6667  0.5000  6 Cl 2.55
Cl  0.0227  0.3907  0.6948  1 Mg 2.55, 1 Nd 2.75
Cl  0.0227  0.6319  0.3052  1 Mg 2.55, 1 Nd 2.75
Cl  0.3681  0.3907  0.3052  1 Mg 2.55, 1 Nd 2.75
Cl  0.3681  0.9773  0.6948  1 Mg 2.55, 1 Nd 2.75
Cl  0.6093  0.6319  0.6948  1 Mg 2.55, 1 Nd 2.75
Cl  0.6093  0.9773  0.3052  1 Mg 2.55, 1 Nd 2.75

## Properties
The value obtained for the energy is -4.13 eV per atom. As for the total magnetic moment: 0.0 μB/cell. The uncorrected formation energy is -18.9 eV/f.u.